Record 1
Below is crystalline LaTaSi2 at its relaxed geometry, with properties calculated at the GGA-PBE level.

- Energy above the most stable polymorph in this dataset: 0.574 eV per atom
- Formation energy (no corrections): 0.1588 eV/atom
- N(E_F): 2.98 states/eV/cell

```
data_LaTaSi2
_chemical_formula_sum 'La1 Ta1 Si2'
_space_group_name_H-M_alt 'P 1'
_space_group_IT_number 1
_space_group_name_Hall 'P 1'
_cell_length_a 5.599
_cell_length_b 5.599
_cell_length_c 5.599
_cell_angle_alpha 136.82
_cell_angle_beta 136.82
_cell_angle_gamma 62.72
loop_
_atom_site_label
_atom_site_type_symbol
_atom_site_fract_x
_atom_site_fract_y
_atom_site_fract_z
La1 La 0.750 0.250 0.500
Si1 Si 0.250 0.750 0.500
Si2 Si 0.000 0.000 0.000
Ta1 Ta 0.500 0.500 0.000
```

***

Record 2
Below is crystalline TaB2W at its relaxed geometry, with properties calculated at the GGA-PBE level.

- Energy above the most stable polymorph in this dataset: 0.867 eV per atom
- N(E_F): 1.96 states/eV/cell
- Formation energy: 0.27 eV/atom

```
data_TaB2W
_chemical_formula_sum 'Ta1 B2 W1'
_space_group_name_H-M_alt 'P 1'
_space_group_IT_number 1
_space_group_name_Hall 'P 1'
_cell_length_a 4.018
_cell_length_b 4.018
_cell_length_c 4.018
_cell_angle_alpha 60.00
_cell_angle_beta 60.00
_cell_angle_gamma 60.00
loop_
_atom_site_label
_atom_site_type_symbol
_atom_site_fract_x
_atom_site_fract_y
_atom_site_fract_z
Ta1 Ta 0.000 0.000 0.000
B1 B 0.750 0.750 0.750
B2 B 0.250 0.250 0.250
W1 W 0.500 0.500 0.500
```

***

Record 3
Below is crystalline CsMgH2 at its relaxed geometry, with properties calculated at the GGA-PBE level.

- Energy above the most stable polymorph in this dataset: 0.201 eV per atom
- N(E_F): 1.84 states/eV/cell

```
data_CsMgH2
_chemical_formula_sum 'Cs1 Mg1 H2'
_space_group_name_H-M_alt 'P 1'
_space_group_IT_number 1
_space_group_name_Hall 'P 1'
_cell_length_a 4.522
_cell_length_b 5.970
_cell_length_c 4.521
_cell_angle_alpha 90.00
_cell_angle_beta 93.77
_cell_angle_gamma 90.00
loop_
_atom_site_label
_atom_site_type_symbol
_atom_site_fract_x
_atom_site_fract_y
_atom_site_fract_z
Mg1 Mg 0.500 0.500 0.000
Cs1 Cs 0.000 0.000 0.500
H1 H 0.940 0.500 0.560
H2 H 0.060 0.500 0.440
```

***

Record 4
Below is crystalline Na3CaC at its relaxed geometry, with properties calculated at the GGA-PBE level.

- Energy above the most stable polymorph in this dataset: 0.000 eV per atom
- N(E_F): 3.96 states/eV/cell
- Formation energy: 0.85 eV/atom

```
data_Na3CaC
_chemical_formula_sum 'Na3 Ca1 C1'
_space_group_name_H-M_alt 'P 1'
_space_group_IT_number 1
_space_group_name_Hall 'P 1'
_cell_length_a 5.108
_cell_length_b 5.108
_cell_length_c 5.108
_cell_angle_alpha 90.00
_cell_angle_beta 90.00
_cell_angle_gamma 90.00
loop_
_atom_site_label
_atom_site_type_symbol
_atom_site_fract_x
_atom_site_fract_y
_atom_site_fract_z
Na1 Na 0.000 0.000 0.500
Na2 Na 0.000 0.500 0.000
Na3 Na 0.500 0.000 0.000
C1 C 0.000 0.000 0.000
Ca1 Ca 0.500 0.500 0.500
```

***

Record 5
Below is crystalline MgHgOs2 at its relaxed geometry, with properties calculated at the GGA-PBE level.

- Energy above the most stable polymorph in this dataset: 0.459 eV per atom
- N(E_F): 4.63 states/eV/cell
- Formation energy: 0.65 eV/atom

```
data_MgHgOs2
_chemical_formula_sum 'Mg1 Hg1 Os2'
_space_group_name_H-M_alt 'P 1'
_space_group_IT_number 1
_space_group_name_Hall 'P 1'
_cell_length_a 4.376
_cell_length_b 3.866
_cell_length_c 3.866
_cell_angle_alpha 90.00
_cell_angle_beta 90.00
_cell_angle_gamma 90.00
loop_
_atom_site_label
_atom_site_type_symbol
_atom_site_fract_x
_atom_site_fract_y
_atom_site_fract_z
Os1 Os 0.000 0.000 0.000
Os2 Os 0.000 0.500 0.500
Hg1 Hg 0.500 0.500 0.000
Mg1 Mg 0.500 0.000 0.500
```

***

Record 6
Below is crystalline ZrCuC2 at its relaxed geometry, with properties calculated at the GGA-PBE level.

- Energy above the most stable polymorph in this dataset: 0.000 eV per atom
- N(E_F): 5.72 states/eV/cell
- Formation energy: 0.83 eV/atom

```
data_ZrCuC2
_chemical_formula_sum 'Zr2 Cu2 C4'
_space_group_name_H-M_alt 'P 1'
_space_group_IT_number 1
_space_group_name_Hall 'P 1'
_cell_length_a 4.097
_cell_length_b 4.097
_cell_length_c 6.676
_cell_angle_alpha 72.13
_cell_angle_beta 72.13
_cell_angle_gamma 90.00
loop_
_atom_site_label
_atom_site_type_symbol
_atom_site_fract_x
_atom_site_fract_y
_atom_site_fract_z
Zr1 Zr 0.000 0.000 0.000
Zr2 Zr 0.750 0.250 0.500
Cu1 Cu 0.250 0.750 0.500
Cu2 Cu 0.500 0.500 0.000
C1 C 0.375 0.453 0.750
C2 C 0.547 0.125 0.250
C3 C 0.203 0.625 0.250
C4 C 0.875 0.797 0.750
```

***

Record 7
Below is crystalline Rb2NiGe2 at its relaxed geometry, with properties calculated at the GGA-PBE level.

- N(E_F): 8.31 states/eV/cell
- Formation energy: 0.17 eV/atom

```
data_Rb2NiGe2
_chemical_formula_sum 'Rb4 Ni2 Ge4'
_space_group_name_H-M_alt 'P 1'
_space_group_IT_number 1
_space_group_name_Hall 'P 1'
_cell_length_a 6.516
_cell_length_b 6.516
_cell_length_c 5.971
_cell_angle_alpha 90.00
_cell_angle_beta 90.00
_cell_angle_gamma 90.00
loop_
_atom_site_label
_atom_site_type_symbol
_atom_site_fract_x
_atom_site_fract_y
_atom_site_fract_z
Ni1 Ni 0.500 0.500 0.000
Ni2 Ni 0.000 0.000 0.000
Ge1 Ge 0.359 0.859 0.000
Ge2 Ge 0.641 0.141 0.000
Ge3 Ge 0.859 0.641 0.000
Ge4 Ge 0.141 0.359 0.000
Rb1 Rb 0.317 0.183 0.500
Rb2 Rb 0.817 0.317 0.500
Rb3 Rb 0.683 0.817 0.500
Rb4 Rb 0.183 0.683 0.500
```

***

Record 8
Below is crystalline ScOsRu at its relaxed geometry, with properties calculated at the GGA-PBE level.

- Energy above the most stable polymorph in this dataset: 0.000 eV per atom
- N(E_F): 6.65 states/eV/cell
- Formation energy: -0.34 eV/atom

```
data_ScOsRu
_chemical_formula_sum 'Sc2 Os2 Ru2'
_space_group_name_H-M_alt 'P 1'
_space_group_IT_number 1
_space_group_name_Hall 'P 1'
_cell_length_a 5.149
_cell_length_b 5.205
_cell_length_c 5.205
_cell_angle_alpha 61.13
_cell_angle_beta 60.35
_cell_angle_gamma 60.35
loop_
_atom_site_label
_atom_site_type_symbol
_atom_site_fract_x
_atom_site_fract_y
_atom_site_fract_z
Sc1 Sc 0.123 0.627 0.627
Sc2 Sc 0.877 0.373 0.373
Ru1 Ru 0.500 0.500 0.000
Ru2 Ru 0.500 0.000 0.500
Os1 Os 0.500 0.000 0.000
Os2 Os 0.000 0.000 0.000
```

***

Record 9
Below is crystalline Re3P at its relaxed geometry, with properties calculated at the GGA-PBE level.

- Energy above the most stable polymorph in this dataset: 0.753 eV per atom
- N(E_F): 5.86 states/eV/cell
- Formation energy: 0.63 eV/atom

```
data_Re3P
_chemical_formula_sum 'Re6 P2'
_space_group_name_H-M_alt 'P 1'
_space_group_IT_number 1
_space_group_name_Hall 'P 1'
_cell_length_a 4.881
_cell_length_b 4.881
_cell_length_c 4.881
_cell_angle_alpha 90.00
_cell_angle_beta 90.00
_cell_angle_gamma 90.00
loop_
_atom_site_label
_atom_site_type_symbol
_atom_site_fract_x
_atom_site_fract_y
_atom_site_fract_z
P1 P 0.000 0.000 0.000
P2 P 0.500 0.500 0.500
Re1 Re 0.500 0.000 0.750
Re2 Re 0.750 0.500 0.000
Re3 Re 0.500 0.000 0.250
Re4 Re 0.250 0.500 0.000
Re5 Re 0.000 0.250 0.500
Re6 Re 0.000 0.750 0.500
```

***

Record 10
Below is crystalline TlZnTe at its relaxed geometry, with properties calculated at the GGA-PBE level.

- Energy above the most stable polymorph in this dataset: 0.000 eV per atom
- Formation energy (no corrections): -0.1652 eV/atom
- N(E_F): 1.14 states/eV/cell

```
data_TlZnTe
_chemical_formula_sum 'Tl1 Zn1 Te1'
_space_group_name_H-M_alt 'P 1'
_space_group_IT_number 1
_space_group_name_Hall 'P 1'
_cell_length_a 4.253
_cell_length_b 4.253
_cell_length_c 5.580
_cell_angle_alpha 90.00
_cell_angle_beta 90.00
_cell_angle_gamma 120.00
loop_
_atom_site_label
_atom_site_type_symbol
_atom_site_fract_x
_atom_site_fract_y
_atom_site_fract_z
Zn1 Zn 0.333 0.667 0.714
Te1 Te 0.000 0.000 0.916
Tl1 Tl 0.667 0.333 0.370
```

***

Record 11
Below is crystalline MnAlIn at its relaxed geometry, with properties calculated at the GGA-PBE level.

- Energy above the most stable polymorph in this dataset: 0.090 eV per atom
- N(E_F): 2.28 states/eV/cell
- Formation energy: 0.19 eV/atom

```
data_MnAlIn
_chemical_formula_sum 'Mn1 Al1 In1'
_space_group_name_H-M_alt 'P 1'
_space_group_IT_number 1
_space_group_name_Hall 'P 1'
_cell_length_a 3.007
_cell_length_b 3.007
_cell_length_c 6.741
_cell_angle_alpha 90.00
_cell_angle_beta 90.00
_cell_angle_gamma 120.00
loop_
_atom_site_label
_atom_site_type_symbol
_atom_site_fract_x
_atom_site_fract_y
_atom_site_fract_z
Mn1 Mn 0.333 0.667 0.683
In1 In 0.667 0.333 0.348
Al1 Al 0.000 0.000 0.969
```

***

Record 12
Below is crystalline BePb at its relaxed geometry, with properties calculated at the GGA-PBE level.

- Energy above the most stable polymorph in this dataset: 0.455 eV per atom
- N(E_F): 1.42 states/eV/cell
- Formation energy: 0.76 eV/atom

```
data_BePb
_chemical_formula_sum 'Be2 Pb2'
_space_group_name_H-M_alt 'P 1'
_space_group_IT_number 1
_space_group_name_Hall 'P 1'
_cell_length_a 3.611
_cell_length_b 3.611
_cell_length_c 7.448
_cell_angle_alpha 90.00
_cell_angle_beta 90.00
_cell_angle_gamma 120.00
loop_
_atom_site_label
_atom_site_type_symbol
_atom_site_fract_x
_atom_site_fract_y
_atom_site_fract_z
Be1 Be 0.667 0.333 0.750
Be2 Be 0.333 0.667 0.250
Pb1 Pb 0.000 0.000 0.000
Pb2 Pb 0.000 0.000 0.500
```